## A
VASP calculation (PBE) on an optimized crystal structure of TaRe2H.

Cell and atoms, written as POSCAR:
```
TaRe2H
1.0
-0.2280 -4.8719 4.6691
-2.9798 -4.1189 -4.4433
0.4531 -5.2465 -0.5703
Re H Ta
4 2 2
Cartesian
-0.3781 -4.3675 1.7373
-1.8012 -4.9988 -1.8531
-1.1713 -7.7324 -0.8026
-2.1588 -11.3758 0.2294
-1.6039 -4.4954 0.1129
-2.0653 -6.9304 -2.4503
0.0000 0.0000 0.0000
-0.6894 -7.3069 2.1059
```

Values from the calculation:
Its space-group type is I-42d, No. 122. Its density of states at the Fermi level is 0.836 states/eV per atom. Its crystal system is tetragonal.

---

## B
VASP calculation (PBE) on an optimized crystal structure of TaRe2H.

Cell and atoms, written as POSCAR:
```
TaRe2H
1.0
-2.7832 -3.2932 -0.1401
-1.8313 -1.4326 3.6339
-4.1974 0.6911 0.7180
Re H Ta
2 1 1
Cartesian
-2.2030 -1.0087 1.0529
-6.6089 -3.0260 3.1588
0.0000 0.0000 0.0000
-4.4060 -2.0173 2.1059
```

Values from the calculation:
Its space-group type is Fm-3m, No. 225. Its density of states at the Fermi level is 0.854 states/eV per atom. Its crystal system is cubic.

---

What should be chosen as the least stable of them? Choose B.

---

## A
VASP calculation (PBE) on an optimized crystal structure of Ta3ReH.

Cell and atoms, written as POSCAR:
```
Ta3ReH
1.0
-3.7467 -1.8310 -0.1080
1.8058 -3.6392 -0.9470
0.3214 -0.8973 4.0612
Re H Ta
1 1 3
Cartesian
-0.8097 -3.1838 1.5031
0.0000 0.0000 0.0000
0.9029 -1.8196 -0.4735
0.1607 -0.4486 2.0306
-1.8733 -0.9155 -0.0540
```

Values from the calculation:
Its space-group type is Pm-3m, No. 221. Its density of states at the Fermi level is 1.214 states/eV per atom. Its crystal system is cubic.

---

## B
VASP calculation (PBE) on an optimized crystal structure of Ta3ReH.

Cell and atoms, written as POSCAR:
```
Ta3ReH
1.0
4.8731 0.0000 0.0000
0.0000 4.8731 0.0000
0.0000 0.0000 4.8731
Re H Ta
1 1 3
Cartesian
0.0000 0.0000 0.0000
2.4366 2.4366 2.4366
0.0000 2.4366 0.0000
0.0000 0.0000 2.4366
2.4366 0.0000 0.0000
```

Values from the calculation:
Its space-group type is Pm-3m, No. 221. Its density of states at the Fermi level is 0.801 states/eV per atom. Its crystal system is cubic.

---

What should be chosen as the least stable of them? Choose B.

---

## A
VASP calculation (PBE) on an optimized crystal structure of Ta2Re2H.

Cell and atoms, written as POSCAR:
```
Ta2Re2H
1.0
3.5346 0.0000 0.0000
0.0000 3.5346 0.0000
1.7673 1.7673 6.9484
Re H Ta
2 1 2
Cartesian
3.5346 1.7673 3.4742
1.7673 3.5346 3.4742
0.0000 0.0000 0.0000
1.7673 1.7673 1.3443
3.5346 3.5346 5.6041
```

Values from the calculation:
Its space-group type is I4/mmm, No. 139. Its density of states at the Fermi level is 1.108 states/eV per atom. Its crystal system is tetragonal.

---

## B
VASP calculation (PBE) on an optimized crystal structure of Ta2Re2H.

Cell and atoms, written as POSCAR:
```
Ta2Re2H
1.0
7.4274 0.0000 0.0000
0.0000 7.4274 0.0000
0.0000 0.0000 3.1044
Re H Ta
4 2 4
Cartesian
1.0360 4.7497 1.5522
4.7497 6.3914 1.5522
6.3914 2.6777 1.5522
2.6777 1.0360 1.5522
0.0000 0.0000 0.0000
3.7137 3.7137 0.0000
2.5626 6.2763 0.0000
6.2763 4.8648 0.0000
4.8648 1.1511 0.0000
1.1511 2.5626 0.0000
```

Values from the calculation:
Its space-group type is P4/mbm, No. 127. Its density of states at the Fermi level is 0.953 states/eV per atom. Its crystal system is tetragonal.

---

What should be chosen as the least stable of them? Choose A.

---

## A
VASP calculation (PBE) on an optimized crystal structure of Ta2ReTcH.

Cell and atoms, written as POSCAR:
```
Ta2ReTcH
1.0
-4.1488 -1.1129 1.1671
-0.7202 -1.6035 -4.0894
1.1212 -3.1085 1.0215
Re Tc H Ta
1 1 1 2
Cartesian
0.5606 -1.5542 0.5107
-1.8739 -2.9125 -0.9504
0.0000 0.0000 0.0000
-0.3601 -0.8018 -2.0447
-2.0744 -0.5565 0.5835
```

Values from the calculation:
Its space-group type is P4/mmm, No. 123. Its density of states at the Fermi level is 0.542 states/eV per atom. Its crystal system is tetragonal.

---

## B
VASP calculation (PBE) on an optimized crystal structure of Ta2ReTcH.

Cell and atoms, written as POSCAR:
```
Ta2ReTcH
1.0
4.4656 0.0000 0.0000
0.0000 4.4656 0.0000
0.0000 0.0000 3.4210
Re Tc H Ta
1 1 1 2
Cartesian
2.2328 2.2328 1.7105
0.0000 0.0000 1.7105
0.0000 0.0000 0.0000
0.0000 2.2328 0.0000
2.2328 0.0000 0.0000
```

Values from the calculation:
Its space-group type is P4/mmm, No. 123. Its density of states at the Fermi level is 0.489 states/eV per atom. Its crystal system is tetragonal.

---

What should be chosen as the least stable of them? Choose A.

---

## A
VASP calculation (PBE) on an optimized crystal structure of TaReTc2H.

Cell and atoms, written as POSCAR:
```
TaReTc2H
1.0
4.0008 0.0000 0.0000
0.0000 4.0008 0.0000
0.0000 0.0000 4.0114
Re Tc H Ta
1 2 1 1
Cartesian
0.0000 0.0000 2.0057
0.0000 2.0004 0.0000
2.0004 0.0000 0.0000
0.0000 0.0000 0.0000
2.0004 2.0004 2.0057
```

Values from the calculation:
Its space-group type is P4/mmm, No. 123. Its density of states at the Fermi level is 0.828 states/eV per atom. Its crystal system is tetragonal.

---

## B
VASP calculation (PBE) on an optimized crystal structure of TaReTc2H.

Cell and atoms, written as POSCAR:
```
TaReTc2H
1.0
3.9728 0.0000 0.0000
0.0000 3.9728 0.0000
0.0000 0.0000 4.0621
Re Tc H Ta
1 2 1 1
Cartesian
1.9864 1.9864 2.0311
0.0000 1.9864 0.0000
1.9864 0.0000 0.0000
0.0000 0.0000 0.0000
0.0000 0.0000 2.0311
```

Values from the calculation:
Its space-group type is P4/mmm, No. 123. Its density of states at the Fermi level is 0.609 states/eV per atom. Its crystal system is tetragonal.

---

What should be chosen as the least stable of them? Choose A.

---

## A
VASP calculation (PBE) on an optimized crystal structure of ReTcH3.

Cell and atoms, written as POSCAR:
```
ReTcH3
1.0
3.3992 0.0000 0.0000
0.0000 3.3992 0.0000
0.0000 0.0000 3.3992
Re Tc H
1 1 3
Cartesian
1.6996 1.6996 1.6996
0.0000 0.0000 0.0000
0.0000 1.6996 0.0000
0.0000 0.0000 1.6996
1.6996 0.0000 0.0000
```

Values from the calculation:
Its space-group type is Pm-3m, No. 221. Its density of states at the Fermi level is 0.748 states/eV per atom. Its crystal system is cubic.

---

## B
VASP calculation (PBE) on an optimized crystal structure of ReTcH3.

Cell and atoms, written as POSCAR:
```
ReTcH3
1.0
3.4572 0.0000 0.0000
0.0000 3.4572 0.0000
0.0000 0.0000 3.4572
Re Tc H
1 1 3
Cartesian
0.0000 0.0000 0.0000
1.7286 1.7286 1.7286
0.0000 1.7286 0.0000
0.0000 0.0000 1.7286
1.7286 0.0000 0.0000
```

Values from the calculation:
Its space-group type is Pm-3m, No. 221. Its density of states at the Fermi level is 0.588 states/eV per atom. Its crystal system is cubic.

---

What should be chosen as the least stable of them? Choose A.

---

## A
VASP calculation (PBE) on an optimized crystal structure of Re2TcH2.

Cell and atoms, written as POSCAR:
```
Re2TcH2
1.0
6.0295 0.0000 0.0000
0.0000 6.0295 0.0000
0.0000 0.0000 2.8493
Re Tc H
4 2 4
Cartesian
0.8487 3.8635 1.4246
3.8635 5.1808 1.4246
5.1808 2.1661 1.4246
2.1661 0.8487 1.4246
0.0000 0.0000 0.0000
3.0148 3.0148 0.0000
1.7637 4.7784 0.0000
4.7784 4.2659 0.0000
4.2659 1.2511 0.0000
1.2511 1.7637 0.0000
```

Values from the calculation:
Its space-group type is P4/mbm, No. 127. Its density of states at the Fermi level is 0.531 states/eV per atom. Its crystal system is tetragonal.

---

## B
VASP calculation (PBE) on an optimized crystal structure of Re2TcH2.

Cell and atoms, written as POSCAR:
```
Re2TcH2
1.0
2.8777 0.0000 0.0000
0.0000 2.8777 0.0000
1.4388 1.4388 6.0637
Re Tc H
2 1 2
Cartesian
1.4388 1.4388 1.7943
2.8777 2.8777 4.2694
0.0000 0.0000 0.0000
2.8777 1.4388 3.0319
1.4388 2.8777 3.0319
```

Values from the calculation:
Its space-group type is I4/mmm, No. 139. Its density of states at the Fermi level is 0.660 states/eV per atom. Its crystal system is tetragonal.

---

What should be chosen as the least stable of them? Choose A.

---

## A
VASP calculation (PBE) on an optimized crystal structure of Re2TcH.

Cell and atoms, written as POSCAR:
```
Re2TcH
1.0
-1.5390 -3.8967 0.3398
-0.5654 -1.7127 3.7968
-3.8894 -0.6022 1.4759
Re Tc H
2 1 1
Cartesian
-1.4985 -1.5529 1.4031
-4.4954 -4.6588 4.2094
-2.9969 -3.1058 2.8063
0.0000 0.0000 0.0000
```

Values from the calculation:
Its space-group type is Fm-3m, No. 225. Its density of states at the Fermi level is 0.813 states/eV per atom. Its crystal system is cubic.

---

## B
VASP calculation (PBE) on an optimized crystal structure of Re2TcH.

Cell and atoms, written as POSCAR:
```
Re2TcH
1.0
2.8220 0.0000 0.0000
1.4110 2.4439 0.0000
1.4110 0.8146 6.7249
Re Tc H
2 1 1
Cartesian
1.4110 0.8146 5.5394
1.4110 0.8146 1.1911
2.8220 1.6293 3.3889
4.2330 2.4439 6.6928
```

Values from the calculation:
Its space-group type is R3m, No. 160. Its density of states at the Fermi level is 0.689 states/eV per atom. Its crystal system is trigonal.

---

What should be chosen as the least stable of them? Choose A.

---

## A
VASP calculation (PBE) on an optimized crystal structure of ReTc3H.

Cell and atoms, written as POSCAR:
```
ReTc3H
1.0
-5.3194 3.0408 6.8945
-4.4253 0.6770 8.0644
3.9641 2.2551 1.5270
Re Tc H
2 6 2
Cartesian
-7.8834 4.1895 14.4895
2.1028 1.7834 1.9963
-0.2030 1.5523 3.2914
-2.6824 1.4328 4.9449
-4.7346 2.5223 8.7145
-3.0982 4.5401 11.5409
-1.0460 3.4507 7.7713
-5.5777 4.4207 13.1944
0.5306 2.6198 4.8876
-6.3113 3.3532 11.5982
```

Values from the calculation:
Its space-group type is C2/m, No. 12. Its density of states at the Fermi level is 0.796 states/eV per atom. Its crystal system is monoclinic.

---

## B
VASP calculation (PBE) on an optimized crystal structure of ReTc3H.

Cell and atoms, written as POSCAR:
```
ReTc3H
1.0
3.9298 0.0000 0.0000
0.0000 3.9298 0.0000
0.0000 0.0000 3.9298
Re Tc H
1 3 1
Cartesian
1.9649 1.9649 1.9649
0.0000 1.9649 0.0000
0.0000 0.0000 1.9649
1.9649 0.0000 0.0000
0.0000 0.0000 0.0000
```

Values from the calculation:
Its space-group type is Pm-3m, No. 221. Its density of states at the Fermi level is 0.924 states/eV per atom. Its crystal system is cubic.

---

## C
VASP calculation (PBE) on an optimized crystal structure of ReTc3H.

Cell and atoms, written as POSCAR:
```
ReTc3H
1.0
-2.8648 3.5170 1.3299
-0.0653 -1.7182 4.4032
3.7594 2.6502 1.0899
Re Tc H
1 3 1
Cartesian
0.0000 0.0000 0.0000
-0.0327 -0.8591 2.2016
1.8797 1.3251 0.5450
-1.4324 1.7585 0.6649
0.4147 2.2245 3.4115
```

Values from the calculation:
Its space-group type is Pm-3m, No. 221. Its density of states at the Fermi level is 1.168 states/eV per atom. Its crystal system is cubic.

---

What should be chosen as the least stable of them? Choose C.

---

## A
VASP calculation (PBE) on an optimized crystal structure of ReTcH.

Cell and atoms, written as POSCAR:
```
ReTcH
1.0
-0.2514 3.4246 2.8554
-5.1263 -1.7953 1.7019
2.1267 -2.7524 3.4883
Re Tc H
4 4 4
Cartesian
-4.3737 -0.9291 2.5131
-1.4432 -1.0547 6.4141
1.1226 -0.1939 5.5325
-1.8078 -0.0683 1.6314
-2.0279 -1.8782 3.7911
-3.7842 -0.1711 5.0815
-1.2232 0.7552 4.2544
0.5332 -0.9519 2.9641
-2.7819 -0.0920 3.3905
-2.9090 -3.6089 4.1050
-0.4692 -1.0310 4.6551
-0.3421 2.4860 3.9406
```

Values from the calculation:
Its space-group type is P2_1/c, No. 14. Its density of states at the Fermi level is 0.658 states/eV per atom. Its crystal system is monoclinic.

---

## B
VASP calculation (PBE) on an optimized crystal structure of ReTcH.

Cell and atoms, written as POSCAR:
```
ReTcH
1.0
4.8807 0.1911 -0.0937
-0.1147 2.7485 -0.5607
0.9284 -0.4202 4.7535
Re Tc H
2 2 2
Cartesian
1.2711 0.7214 2.1773
3.6541 2.1913 1.8501
2.0849 1.6707 -0.3543
5.3384 -0.0361 4.6152
2.0288 2.3715 3.0720
0.3993 1.8201 0.7216
```

Values from the calculation:
Its space-group type is C2/m, No. 12. Its density of states at the Fermi level is 0.806 states/eV per atom. Its crystal system is monoclinic.

---

## C
VASP calculation (PBE) on an optimized crystal structure of ReTcH.

Cell and atoms, written as POSCAR:
```
ReTcH
1.0
2.8874 0.0000 0.0000
0.0000 2.8874 0.0000
-1.4437 -1.4437 4.1752
Re Tc H
1 1 1
Cartesian
0.0000 0.0000 0.1623
1.4437 1.4437 1.8713
0.0000 0.0000 2.1416
```

Values from the calculation:
Its space-group type is I4mm, No. 107. Its density of states at the Fermi level is 0.801 states/eV per atom. Its crystal system is tetragonal.

---

What should be chosen as the least stable of them? Choose C.

---

## A
VASP calculation (PBE) on an optimized crystal structure of Re2TeH.

Cell and atoms, written as POSCAR:
```
Re2TeH
1.0
-2.9379 -2.8353 -1.4694
-4.2222 0.6677 0.7461
-2.6331 1.1017 -3.2684
Re Te H
2 1 1
Cartesian
-2.4483 -0.2665 -0.9979
-7.3449 -0.7994 -2.9938
-4.8966 -0.5329 -1.9959
0.0000 0.0000 0.0000
```

Values from the calculation:
Its space-group type is Fm-3m, No. 225. Its density of states at the Fermi level is 1.039 states/eV per atom. Its crystal system is cubic.

---

## B
VASP calculation (PBE) on an optimized crystal structure of Re2TeH.

Cell and atoms, written as POSCAR:
```
Re2TeH
1.0
-2.9421 1.5863 -3.5782
2.0974 -3.1405 -3.1167
-3.9064 -4.3673 -2.0744
Re Te H
4 2 2
Cartesian
-2.0926 -0.7414 -2.5843
-0.4942 -2.6080 -3.4741
-2.9181 -4.3501 -4.5544
-3.9973 -4.1437 -6.9259
0.0000 0.0000 0.0000
-3.6354 -1.7791 -4.5001
-0.4224 -0.7771 -3.3475
-1.1157 -4.1425 -4.2693
```

Values from the calculation:
Its space-group type is I-42d, No. 122. Its density of states at the Fermi level is 0.877 states/eV per atom. Its crystal system is tetragonal.

---

What should be chosen as the least stable of them? Choose A.

---

## A
VASP calculation (PBE) on an optimized crystal structure of ReTeH2.

Cell and atoms, written as POSCAR:
```
ReTeH2
1.0
0.0000 2.8358 2.8358
2.8358 0.0000 2.8358
2.8358 2.8358 0.0000
Re Te H
1 1 2
Cartesian
2.8358 2.8358 2.8358
0.0000 0.0000 0.0000
1.4179 1.4179 1.4179
4.2537 4.2537 4.2537
```

Values from the calculation:
Its space-group type is Fm-3m, No. 225. Its density of states at the Fermi level is 1.294 states/eV per atom. Its crystal system is cubic.

---

## B
VASP calculation (PBE) on an optimized crystal structure of ReTeH2.

Cell and atoms, written as POSCAR:
```
ReTeH2
1.0
3.9362 0.0000 0.0000
0.0000 3.9362 0.0000
1.9681 1.9681 6.4712
Re Te H
2 2 4
Cartesian
0.0000 0.0000 0.0000
3.9362 1.9681 3.2356
1.9681 1.9681 0.0000
1.9681 3.9362 3.2356
3.9359 0.9840 1.6178
3.9364 2.9521 1.6178
2.9521 1.9683 4.8534
4.9202 1.9678 4.8534
```

Values from the calculation:
Its space-group type is I4_1/amd, No. 141. Its density of states at the Fermi level is 0.842 states/eV per atom. Its crystal system is tetragonal.

---

What should be chosen as the least stable of them? Choose A.